[1]
{"formula": "LiSb2Cl", "functional": "PBE", "state": "optimized geometry", "e_above_lowest_polymorph_kj_per_mol_atoms": 30.4, "density_g_cm3": 3.7, "sg": "P2/m, No. 10", "total_magnetization_mub_per_cell": 0.0, "formation_energy_uncorrected_kj_per_mol_fu": -193, "lattice": [[4.270, 0.000, 0.000], [0.000, 6.726, 0.000], [-0.371, 0.000, 4.501]], "species": ["Li", "Sb", "Sb", "Cl"], "frac_coords": [[0.000, 0.000, 0.000], [0.277, 0.500, 0.204], [0.723, 0.500, 0.796], [0.000, 0.000, 0.500]]}

[2]
{"formula": "Li2EuHo", "functional": "PBE", "state": "optimized geometry", "e_above_lowest_polymorph_kj_per_mol_atoms": 0.0, "density_g_cm3": 4.8, "sg": "P4/mmm, No. 123", "total_magnetization_mub_per_cell": 7.5, "lattice": [[3.819, 0.000, 0.000], [0.000, 3.819, 0.000], [0.000, 0.000, 7.833]], "species": ["Li", "Li", "Eu", "Ho"], "frac_coords": [[0.000, 0.000, 0.228], [0.000, 0.000, 0.772], [0.500, 0.500, 0.500], [0.500, 0.500, 0.000]]}

[3]
{"formula": "Tb7Er12Mg", "functional": "PBE", "state": "optimized geometry", "e_above_lowest_polymorph_kj_per_mol_atoms": 60.0, "density_g_cm3": 6.1, "sg": "Im-3, No. 204", "total_magnetization_mub_per_cell": 0.0, "lattice": [[-5.974, 5.974, 5.974], [5.974, -5.974, 5.974], [5.974, 5.974, -5.974]], "species": ["Tb", "Tb", "Tb", "Tb", "Tb", "Tb", "Tb", "Er", "Er", "Er", "Er", "Er", "Er", "Er", "Er", "Er", "Er", "Er", "Er", "Mg"], "frac_coords": [[0.000, 0.000, 0.500], [0.000, 0.500, 0.000], [0.000, 0.500, 0.500], [0.500, 0.000, 0.000], [0.500, 0.000, 0.500], [0.500, 0.500, 0.000], [0.500, 0.500, 0.500], [0.097, 0.360, 0.737], [0.263, 0.622, 0.360], [0.263, 0.903, 0.640], [0.360, 0.263, 0.622], [0.360, 0.737, 0.097], [0.378, 0.640, 0.737], [0.622, 0.360, 0.263], [0.640, 0.263, 0.903], [0.640, 0.737, 0.378], [0.737, 0.097, 0.360], [0.737, 0.378, 0.640], [0.903, 0.640, 0.263], [0.000, 0.000, 0.000]]}

[4]
{"formula": "CuIr2Os", "functional": "PBE", "state": "optimized geometry", "e_above_lowest_polymorph_kj_per_mol_atoms": 30.0, "density_g_cm3": 19.0, "sg": "Immm, No. 71", "total_magnetization_mub_per_cell": 0.0, "lattice": [[2.817, 0.000, 0.000], [0.000, 4.497, 0.000], [0.000, 0.000, 8.823]], "species": ["Cu", "Cu", "Ir", "Ir", "Ir", "Ir", "Os", "Os"], "frac_coords": [[0.000, 0.000, 0.000], [0.500, 0.500, 0.500], [0.000, 0.500, 0.263], [0.000, 0.500, 0.737], [0.500, 0.000, 0.237], [0.500, 0.000, 0.763], [0.000, 0.000, 0.500], [0.500, 0.500, 0.000]]}